Density functional theory data (PBE-GGA) for a relaxed structure of K3TlPt.

Summary:
**Theoretical density**: 4.27 g/cm³
**Total DFT energy (no corrections)**: -24.4 eV/cell
**Total magnetic moment**: 0.000 μB per atom
**DFT formation energy**: -0.095 eV/atom
**E above lowest polymorph**: 0 meV/atom

Unit cell a=7.625 b=7.672 c=7.703 alpha=74.29 beta=72.40 gamma=72.78
Element x y z (fractional)
K1 0.000 0.000 0.000
K2 0.045 0.078 0.480
K3 0.253 0.508 0.575
K4 0.460 0.598 0.006
K5 0.511 0.076 0.086
K6 0.753 0.596 0.487
Tl1 0.559 0.042 0.604
Tl2 0.944 0.482 0.041
Pt1 0.689 0.289 0.293
Pt2 0.816 0.791 0.793